No. 1
AcTbNdCd | PBE | optimized geometry

Calculated values
Magnetization: 0.00 μB/f.u.
DFT formation energy: 50 meV/atom
Fermi-level density of states: 25.50 states/eV per cell

abc: 8.043 8.043 8.043
angles: 90.00 90.00 90.00
Space group F-43m (No. 216)
Inequivalent atoms, fractional coordinates:
Ac (0.000, 0.000, 0.000) x4
Tb (0.250, 0.250, 0.750) x4
Nd (0.250, 0.250, 0.250) x4
Cd (0.000, 0.000, 0.500) x4



No. 2
AcTbNdCd | PBE | optimized geometry

Calculated values
Magnetization: 0.00 μB/f.u.
DFT formation energy: -135 meV/atom
Fermi-level density of states: 5.47 states/eV per cell

abc: 3.822 3.822 9.021
angles: 90.00 90.00 90.00
Space group P4mm (No. 99)
Inequivalent atoms, fractional coordinates:
Ac (0.000, 0.000, 0.000) x1
Tb (0.500, 0.500, 0.286) x1
Nd (0.500, 0.500, 0.705) x1
Cd (0.000, 0.000, 0.484) x1



No. 3
Ac2NdCdTe5 | PBE | optimized geometry

Calculated values
Magnetization: 0.00 μB/f.u.
E_form (uncorrected): -11.55 eV per formula unit
Fermi-level density of states: 9.88 states/eV per cell

abc: 4.555 19.756 13.801
angles: 90.00 90.00 90.00
Space group Cmc2_1 (No. 36)
Inequivalent atoms, fractional coordinates:
Ac (0.000, 0.117, 0.000) x4
Ac (0.000, 0.131, 0.624) x4
Nd (0.000, 0.198, 0.325) x4
Cd (0.000, 0.443, 0.770) x4
Te (0.000, 0.044, 0.387) x4
Te (0.000, 0.289, 0.986) x4
Te (0.000, 0.310, 0.660) x4
Te (0.000, 0.359, 0.315) x4
Te (0.000, 0.497, 0.087) x4



No. 4
AcNdThCd | PBE | optimized geometry

Calculated values
Magnetization: 0.00 μB/f.u.
DFT formation energy: 129 meV/atom
Fermi-level density of states: 23.90 states/eV per cell

abc: 8.063 8.063 8.063
angles: 90.00 90.00 90.00
Space group F-43m (No. 216)
Inequivalent atoms, fractional coordinates:
Ac (0.000, 0.000, 0.000) x4
Nd (0.250, 0.250, 0.750) x4
Th (0.250, 0.250, 0.250) x4
Cd (0.000, 0.000, 0.500) x4



No. 5
AcNd2Tl2Cd2 | PBE | optimized geometry

Calculated values
Magnetization: 0.00 μB/f.u.
DFT formation energy: -217 meV/atom
Fermi-level density of states: 15.34 states/eV per cell

abc: 5.1050 5.1050 28.2619
angles: 90.00 90.00 120.00
Space group R-3m (No. 166, hexagonal axes)
Inequivalent atoms, fractional coordinates:
Ac (0.0000, 0.0000, 0.0000) x3
Nd (0.0000, 0.0000, 0.1350) x6
Tl (0.0000, 0.0000, 0.2649) x6
Cd (0.0000, 0.0000, 0.4288) x6



No. 6
AcNdZnCd | PBE | optimized geometry

Calculated values
Magnetization: 0.00 μB/f.u.
DFT formation energy: -286 meV/atom
Fermi-level density of states: 4.70 states/eV per cell

abc: 3.859 3.859 7.843
angles: 90.00 90.00 90.00
Space group P4mm (No. 99)
Inequivalent atoms, fractional coordinates:
Ac (0.000, 0.000, 0.000) x1
Nd (0.000, 0.000, 0.465) x1
Zn (0.500, 0.500, 0.258) x1
Cd (0.500, 0.500, 0.711) x1



No. 7
AcNdZnCd | PBE | optimized geometry

Calculated values
Magnetization: 0.00 μB/f.u.
DFT formation energy: -252 meV/atom
Fermi-level density of states: 18.88 states/eV per cell

abc: 7.786 7.786 7.786
angles: 90.00 90.00 90.00
Space group F-43m (No. 216)
Inequivalent atoms, fractional coordinates:
Ac (0.000, 0.000, 0.000) x4
Nd (0.000, 0.000, 0.500) x4
Zn (0.250, 0.250, 0.250) x4
Cd (0.250, 0.250, 0.750) x4



No. 8
AcCd4Ni | PBE | optimized geometry

Calculated values
Magnetization: 0.00 μB/f.u.
DFT formation energy: -211 meV/atom
Fermi-level density of states: 6.90 states/eV per cell

abc: 8.548 4.420 7.517
angles: 90.00 90.00 90.00
Space group Pmma (No. 51)
Inequivalent atoms, fractional coordinates:
Ac (0.250, 0.000, 0.092) x2
Cd (0.000, 0.000, 0.500) x2
Cd (0.060, 0.500, 0.797) x4
Cd (0.250, 0.500, 0.453) x2
Ni (0.250, 0.000, 0.708) x2



No. 9
Ac2Cd2Ni | PBE | optimized geometry

Calculated values
Magnetization: 0.00 μB/f.u.
DFT formation energy: -261 meV/atom
Fermi-level density of states: 8.53 states/eV per cell

abc: 4.057 6.591 11.825
angles: 84.94 80.15 72.14
Space group P-1 (No. 2)
Inequivalent atoms, fractional coordinates:
Ac (0.082, 0.194, 0.141) x2
Ac (0.211, 0.701, 0.378) x2
Cd (0.378, 0.652, 0.093) x2
Cd (0.486, 0.144, 0.384) x2
Ni (0.279, 0.145, 0.796) x2



No. 10
Ac3CdNi3 | PBE | optimized geometry

Calculated values
Magnetization: 0.00 μB/f.u.
DFT formation energy: -112 meV/atom
Fermi-level density of states: 8.00 states/eV per cell

abc: 8.9622 8.9622 5.8326
angles: 90.00 90.00 120.00
Space group P6_3/m (No. 176)
Inequivalent atoms, fractional coordinates:
Ac (0.0581, 0.3556, 0.2500) x6
Cd (0.3333, 0.6667, 0.7500) x2
Ni (0.0498, 0.3690, 0.7500) x6



No. 11
Ac2CdNi9 | PBE | optimized geometry

Calculated values
Magnetization: 2.16 μB/f.u.
DFT formation energy: -66 meV/atom
Fermi-level density of states: 32.64 states/eV per cell

abc: 5.0520 5.0520 25.3407
angles: 90.00 90.00 120.00
Space group R-3m (No. 166, hexagonal axes)
Inequivalent atoms, fractional coordinates:
Ac (0.0000, 0.0000, 0.1331) x6
Cd (0.0000, 0.0000, 0.0000) x3
Ni (0.0000, 0.0000, 0.3324) x6
Ni (0.0000, 0.0000, 0.5000) x3
Ni (0.0014, 0.5007, 0.0771) x18



No. 12
Ac8CdNi2 | PBE | optimized geometry

Calculated values
Magnetization: 0.00 μB/f.u.
DFT formation energy: -32 meV/atom
Fermi-level density of states: 27.98 states/eV per cell

abc: 9.249 14.628 6.132
angles: 90.00 104.40 90.00
Space group Cm (No. 8)
Inequivalent atoms, fractional coordinates:
Ac (0.000, 0.000, 0.000) x2
Ac (0.099, 0.370, 0.776) x4
Ac (0.179, 0.130, 0.617) x4
Ac (0.278, 0.500, 0.392) x2
Ac (0.389, 0.243, 0.196) x4
Cd (0.389, 0.000, 0.194) x2
Ni (0.389, 0.291, 0.696) x4